First-principles (PBE+U) data for crystalline CaMnRuO6 at its relaxed geometry, as listed in the Alexandria database.

a = 5.086 Å, b = 5.086 Å, c = 5.088 Å
α = 90.00°, β = 90.00°, γ = 120.00°
Element x y z (fractional)
1 Ca 0.000 0.000 0.000
2 Mn 0.333 0.667 0.500
3 Ru 0.667 0.333 0.500
4 O 0.002 0.369 0.709
5 O 0.002 0.632 0.291
6 O 0.368 0.369 0.291
7 O 0.368 0.998 0.709
8 O 0.631 0.632 0.709
9 O 0.631 0.998 0.291

Summary:
Space-group type: P312, No. 149
Total DFT energy (no corrections): -6.889 eV per atom